This record from Alexandria describes a geometry-optimized KW2Br structure. The functional is PBE.

## Properties
formation energy without anion corrections: 1.32 eV/atom
ΔE to the lowest computed polymorph: 0.925 eV per atom
space group: P4/mmm (123)

abc: 3.8079 3.8079 7.6940
angles: 90.00 90.00 90.00
Closest atoms and distances in Å follow each position.
Sites, in units of the cell vectors:
K (0.0000, 0.0000, 0.0000)  4 Br 2.69
W (0.0000, 0.5000, 0.5000)  4 W 2.69
W (0.5000, 0.0000, 0.5000)  4 W 2.69
Br (0.5000, 0.5000, 0.0000)  4 K 2.69

This record from Alexandria describes a geometry-optimized TeAuI2 structure. The functional is PBE.

## Properties
formation energy without anion corrections: 0.35 eV/atom
space group: I-42d (122)

abc: 6.9662 6.9662 6.9662
angles: 107.36 107.36 113.77
Closest atoms and distances in Å follow each position.
Sites, in units of the cell vectors:
Te (0.0000, 0.0000, 0.0000)  4 I 3.31
Te (0.7500, 0.2500, 0.5000)  4 I 3.31
Au (0.2500, 0.7500, 0.5000)  4 I 2.85
Au (0.5000, 0.5000, 0.0000)  4 I 2.85
I (0.1664, 0.6250, 0.0414)  2 Au 2.85
I (0.3750, 0.4164, 0.5414)  2 Au 2.85
I (0.5836, 0.1250, 0.9586)  2 Au 2.85
I (0.8750, 0.8336, 0.4586)  2 Au 2.85

This record from Alexandria describes a geometry-optimized MnBeHg2 structure. The functional is PBE.

## Properties
energy of formation from the pure elements: 1.9 eV/f.u.
space group: C2/m (12)

abc: 4.7308 4.7308 5.3249
angles: 106.07 106.07 38.16
Closest atoms and distances in Å follow each position.
Sites, in units of the cell vectors:
Mn (0.0000, 0.0000, 0.0000)  6 Hg 2.82-2.86, 4 Be 3.08, 2 Mn 3.09
Be (0.5000, 0.5000, 0.5000)  4 Hg 2.59
Hg (0.2305, 0.2305, 0.7343)  2 Be 2.59, 3 Mn 2.82-2.86
Hg (0.7695, 0.7695, 0.2657)  2 Be 2.59, 3 Mn 2.82-2.86

Please write out number 3 again, unchanged.
This record from Alexandria describes a geometry-optimized MnBeHg2 structure. The functional is PBE.

## Properties
energy of formation from the pure elements: 1.9 eV/f.u.
space group: C2/m (12)

abc: 4.7308 4.7308 5.3249
angles: 106.07 106.07 38.16
Closest atoms and distances in Å follow each position.
Sites, in units of the cell vectors:
Mn (0.0000, 0.0000, 0.0000)  6 Hg 2.82-2.86, 4 Be 3.08, 2 Mn 3.09
Be (0.5000, 0.5000, 0.5000)  4 Hg 2.59
Hg (0.2305, 0.2305, 0.7343)  2 Be 2.59, 3 Mn 2.82-2.86
Hg (0.7695, 0.7695, 0.2657)  2 Be 2.59, 3 Mn 2.82-2.86